1.
Crystalline K2TlRu at its relaxed geometry. Source: Alexandria via LeMat-Bulk, functional PBE.

Values from the calculation:
The value obtained for the density of states at the Fermi level is 5.3 states/eV/f.u. The excess energy over the best structure of this formula in the dataset is 341.5 meV/atom. The calculation puts the total magnetic moment at 0.7 μB/f.u. The formation enthalpy at 0 K is 3.188 eV/f.u.

```
data_K2TlRu
_chemical_formula_sum 'K8 Tl4 Ru4'
_cell_length_a 7.5285
_cell_length_b 7.5285
_cell_length_c 7.5285
_cell_angle_alpha 90.00
_cell_angle_beta 90.00
_cell_angle_gamma 90.00
_space_group_name_H-M_alt 'F -4 3 m'
_space_group_IT_number 216
_space_group_name_Hall 'F -4 2 3'
loop_
_atom_site_label
_atom_site_type_symbol
_atom_site_fract_x
_atom_site_fract_y
_atom_site_fract_z
K1 K 0.0000 0.0000 0.0000
K2 K 0.2500 0.2500 0.2500
Tl1 Tl 0.2500 0.2500 0.7500
Ru1 Ru 0.0000 0.0000 0.5000
```

---

2.
Crystalline YZnSn at its relaxed geometry. Source: Alexandria via LeMat-Bulk, functional PBE.

Values from the calculation:
The value obtained for the density of states at the Fermi level is 1.7 states/eV/f.u. The calculation puts the total magnetic moment at 0.0 μB/f.u. The formation enthalpy at 0 K is -1.538 eV/f.u.

```
data_YZnSn
_chemical_formula_sum 'Y4 Zn4 Sn4'
_cell_length_a 4.5959
_cell_length_b 8.2699
_cell_length_c 7.2398
_cell_angle_alpha 90.00
_cell_angle_beta 90.00
_cell_angle_gamma 90.00
_space_group_name_H-M_alt 'I m m 2'
_space_group_IT_number 44
loop_
_space_group_symop_operation_xyz
'x,y,z'
'-x,-y,z'
'-x,y,z'
'x,-y,z'
'x+1/2,y+1/2,z+1/2'
'-x+1/2,-y+1/2,z+1/2'
'-x+1/2,y+1/2,z+1/2'
'x+1/2,-y+1/2,z+1/2'
loop_
_atom_site_label
_atom_site_type_symbol
_atom_site_fract_x
_atom_site_fract_y
_atom_site_fract_z
Y1 Y 0.0000 0.0000 0.0000
Y2 Y 0.0000 0.0000 0.4938
Zn1 Zn 0.0000 0.3491 0.2461
Sn1 Sn 0.0000 0.3205 0.7471
```

---

3.
Crystalline Pa3Ge4 at its relaxed geometry. Source: Alexandria via LeMat-Bulk, functional PBE.

Values from the calculation:
The value obtained for the density of states at the Fermi level is 12.0 states/eV/f.u. The calculation puts the total magnetic moment at 0.0 μB/f.u. The formation enthalpy at 0 K is -2.752 eV/f.u.

```
data_Pa3Ge4
_chemical_formula_sum 'Pa12 Ge16'
_cell_length_a 3.9563
_cell_length_b 10.8275
_cell_length_c 14.4313
_cell_angle_alpha 90.00
_cell_angle_beta 90.00
_cell_angle_gamma 90.00
_space_group_name_H-M_alt 'C m c 21'
_space_group_IT_number 36
loop_
_space_group_symop_operation_xyz
'x,y,z'
'-x,-y,z+1/2'
'-x,y,z'
'x,-y,z+1/2'
'x+1/2,y+1/2,z'
'-x+1/2,-y+1/2,z+1/2'
'-x+1/2,y+1/2,z'
'x+1/2,-y+1/2,z+1/2'
loop_
_atom_site_label
_atom_site_type_symbol
_atom_site_fract_x
_atom_site_fract_y
_atom_site_fract_z
Pa1 Pa 0.0000 0.0419 0.0000
Pa2 Pa 0.0000 0.3298 0.1507
Pa3 Pa 0.0000 0.3301 0.8495
Ge1 Ge 0.0000 0.0001 0.2499
Ge2 Ge 0.0000 0.2260 0.5001
Ge3 Ge 0.0000 0.3837 0.3567
Ge4 Ge 0.0000 0.3840 0.6434
```

---

4.
Crystalline YFeRu at its relaxed geometry. Source: Alexandria via LeMat-Bulk, functional PBE.

Values from the calculation:
The value obtained for the density of states at the Fermi level is 3.3 states/eV/f.u. The calculation puts the total magnetic moment at 0.0 μB/f.u. The formation enthalpy at 0 K is -0.100 eV/f.u.

```
data_YFeRu
_chemical_formula_sum 'Y1 Fe1 Ru1'
_cell_length_a 3.9446
_cell_length_b 3.9446
_cell_length_c 4.2654
_cell_angle_alpha 90.00
_cell_angle_beta 90.00
_cell_angle_gamma 120.00
_space_group_name_H-M_alt 'P -6 m 2'
_space_group_IT_number 187
_space_group_name_Hall 'P -6 2'
loop_
_atom_site_label
_atom_site_type_symbol
_atom_site_fract_x
_atom_site_fract_y
_atom_site_fract_z
Y1 Y 0.0000 0.0000 0.0000
Fe1 Fe 0.3333 0.6667 0.5000
Ru1 Ru 0.6667 0.3333 0.5000
```